Material: ThInO
Method: DFT, GGA-PBE
State: relaxed

## Properties
Calculated volume in A^3/atom: 22.2
Formation energy from raw total energies in meV/atom: -1846
Symmetry: R-3m (166)

a = 8.895 Å, b = 8.895 Å, c = 8.895 Å
α = 27.57°, β = 27.57°, γ = 27.57°
Fractional positions:
Th1 0.109 0.109 0.109
Th2 0.891 0.891 0.891
In1 0.358 0.358 0.358
In2 0.642 0.642 0.642
O1 0.198 0.198 0.198
O2 0.802 0.802 0.802